No. 1
{
  "formula": "ZrGaH",
  "functional": "PBE",
  "state": "optimized geometry",
  "cell": [[3.378, 0.000, 0.000], [-1.689, 2.925, 0.000], [0.000, 0.000, 4.445]],
  "species": ["Zr", "Ga", "H"],
  "frac_coords": [[0.000, 0.000, 0.000], [0.667, 0.333, 0.498], [0.333, 0.667, 0.975]],
  "relative_energy_ev_per_atom": 0.094,
  "magnetic_moment_mub_per_cell": 0.00
}



No. 2
{
  "formula": "SbTe2Cl",
  "functional": "PBE",
  "state": "optimized geometry",
  "cell": [[3.813, 0.000, 0.000], [0.000, 4.966, 0.000], [0.000, 0.000, 8.059]],
  "species": ["Sb", "Te", "Te", "Cl"],
  "frac_coords": [[0.000, 0.000, 0.000], [0.000, 0.000, 0.337], [0.500, 0.500, 0.014], [0.500, 0.500, 0.713]],
  "relative_energy_ev_per_atom": 0.257,
  "magnetic_moment_mub_per_cell": 0.00
}



No. 3
{
  "formula": "Cs2Ba2Sn",
  "functional": "PBE",
  "state": "optimized geometry",
  "cell": [[9.358, 0.000, 0.000], [0.000, 9.358, 0.000], [0.000, 0.000, 7.879]],
  "species": ["Cs", "Cs", "Cs", "Cs", "Ba", "Ba", "Ba", "Ba", "Sn", "Sn"],
  "frac_coords": [[0.187, 0.313, 0.000], [0.313, 0.813, 0.000], [0.687, 0.187, 0.000], [0.813, 0.687, 0.000], [0.168, 0.668, 0.500], [0.332, 0.168, 0.500], [0.668, 0.832, 0.500], [0.832, 0.332, 0.500], [0.000, 0.000, 0.500], [0.500, 0.500, 0.500]],
  "delta_e_f_mev_per_atom": -37,
  "magnetic_moment_mub_per_cell": 0.00
}



No. 4
{
  "formula": "Sr2CaCeTe4",
  "functional": "PBE",
  "state": "optimized geometry",
  "cell": [[8.032, 0.000, 0.000], [0.000, 4.605, 0.000], [-2.665, 0.000, 7.599]],
  "species": ["Sr", "Sr", "Ca", "Ce", "Te", "Te", "Te", "Te"],
  "frac_coords": [[0.000, 0.000, 0.000], [0.500, 0.500, 0.000], [0.000, 0.500, 0.500], [0.500, 0.000, 0.500], [0.244, 0.000, 0.738], [0.251, 0.500, 0.260], [0.749, 0.500, 0.740], [0.756, 0.000, 0.262]],
  "dft_energy_ry_per_atom": -0.3355,
  "magnetic_moment_mub_per_cell": 1.43
}



No. 5
{
  "formula": "NiRhBr4",
  "functional": "PBE",
  "state": "optimized geometry",
  "cell": [[0.000, 4.309, 4.309], [4.309, 0.000, 4.309], [4.309, 4.309, 0.000]],
  "species": ["Ni", "Rh", "Br", "Br", "Br", "Br"],
  "frac_coords": [[0.000, 0.000, 0.000], [0.750, 0.750, 0.750], [0.375, 0.375, 0.375], [0.375, 0.375, 0.874], [0.375, 0.874, 0.375], [0.874, 0.375, 0.375]],
  "relative_energy_ev_per_atom": 1.680,
  "magnetic_moment_mub_per_cell": 2.20
}



No. 6
{
  "formula": "PmAl2Ag6",
  "functional": "PBE",
  "state": "optimized geometry",
  "cell": [[5.673, 0.000, 0.000], [-2.836, 4.913, 0.000], [0.000, 0.000, 7.209]],
  "species": ["Pm", "Al", "Al", "Ag", "Ag", "Ag", "Ag", "Ag", "Ag"],
  "frac_coords": [[0.000, 0.000, 0.000], [0.333, 0.667, 0.500], [0.667, 0.333, 0.500], [0.000, 0.500, 0.205], [0.000, 0.500, 0.795], [0.500, 0.000, 0.205], [0.500, 0.000, 0.795], [0.500, 0.500, 0.205], [0.500, 0.500, 0.795]],
  "relative_energy_ev_per_atom": 0.234,
  "delta_e_f_mev_per_atom": 63,
  "magnetic_moment_mub_per_cell": 0.00
}